16
Lattice="6.3354 -0.8073 -0.1106 -2.6215 5.8238 -0.1106 -1.7602 -2.3776 8.2449" Properties=species:S:1:pos:R:3 comment="AcVCoO5, optimized geometry, DFT PBE with a Hubbard U" space_group="No. 15" magnetic_moment_mub_per_fu=3.0 final_energy_ev_per_atom=-7.289 pbc="T T T"
O -0.8674 1.2488 4.7571
O 0.8359 4.5476 2.3560
Co 2.6718 -0.8555 6.0730
O 3.2254 0.9382 6.4784
O -0.3740 1.9152 7.3889
V -1.4205 2.1741 6.0730
O 4.1688 -1.9638 6.0730
Ac -0.8801 -1.1888 4.1224
Co -0.7181 3.4945 1.9506
O 2.8211 1.3902 3.2665
O -2.2151 4.6027 1.9506
O 2.3277 0.7237 0.6346
O -1.2717 1.7008 1.5451
Ac 0.0000 0.0000 0.0000
V 3.3742 0.4648 1.9506
O 1.1178 -1.9087 5.6676